Record 1
The following is a PBE calculation of an optimized crystal structure of MgZnNi2, from Alexandria via LeMat-Bulk.

Properties
formation energy: 0.326 eV/atom
D(E_F): 0.8836 states/eV per atom

Structure (extended XYZ):
```
8
Lattice="2.6529 0.0000 0.0000 0.0000 4.4807 0.0000 0.0000 0.0000 9.7933" Properties=species:S:1:pos:R:3 pbc="T T T"
Mg 0.0000 0.0000 0.0000
Mg 1.3265 2.2404 4.8966
Zn 0.0000 0.0000 4.8966
Zn 1.3265 2.2404 0.0000
Ni 0.0000 0.0000 2.5657
Ni 0.0000 0.0000 7.2275
Ni 1.3265 2.2404 2.3309
Ni 1.3265 2.2404 7.4624
```

Record 2
The following is a PBE calculation of an optimized crystal structure of Tb2Y3Tm6, from Alexandria via LeMat-Bulk.

Properties
polymorph energy (0 for the lowest one): 0.187 eV per atom
formation energy: 0.275 eV/atom
D(E_F): 1.6361 states/eV per atom

Structure (extended XYZ):
```
11
Lattice="-2.3465 2.3465 16.4223 2.3465 -2.3465 16.4223 2.3465 2.3465 -16.4223" Properties=species:S:1:pos:R:3 pbc="T T T"
Tb 0.0000 0.0000 1.5198
Tb 0.0000 0.0000 31.3248
Y 0.0000 0.0000 9.7571
Y 0.0000 0.0000 16.4223
Y 0.0000 0.0000 23.0875
Tm 2.3465 0.0000 3.9780
Tm 0.0000 0.0000 6.3293
Tm 2.3465 0.0000 12.4443
Tm 0.0000 2.3465 3.9780
Tm 0.0000 0.0000 26.5153
Tm 0.0000 2.3465 12.4443
```

Record 3
The following is a PBE calculation of an optimized crystal structure of RbInGe, from Alexandria via LeMat-Bulk.

Properties
formation energy: -0.025 eV/atom
D(E_F): 0.1688 states/eV per atom

Structure (extended XYZ):
```
6
Lattice="4.2321 0.0000 0.0000 0.0000 6.3713 0.0000 -2.1146 0.0000 7.9460" Properties=species:S:1:pos:R:3 pbc="T T T"
Rb 0.0000 0.0000 0.0000
Rb -0.0025 3.1856 2.3313
In -0.0032 0.0000 4.3610
In -0.0027 3.1856 6.7859
Ge 2.1113 1.9439 5.0190
Ge 2.1113 4.4274 5.0190
```

Record 4
The following is a PBE calculation of an optimized crystal structure of Hf2NbTl, from Alexandria via LeMat-Bulk.

Properties
polymorph energy (0 for the lowest one): 0.100 eV per atom
formation energy: 0.081 eV/atom
D(E_F): 0.8703 states/eV per atom

Structure (extended XYZ):
```
8
Lattice="5.2363 0.0000 0.0000 0.9946 6.0153 0.0000 0.9215 2.6964 5.3931" Properties=species:S:1:pos:R:3 pbc="T T T"
Hf 0.0000 0.0000 0.0000
Hf 1.0153 4.2974 2.6977
Hf 3.6024 6.5493 4.0183
Hf 6.2645 5.6198 5.3601
Nb 2.6259 2.2028 1.2572
Nb 3.4908 3.6683 4.1766
Tl 3.6260 5.1066 1.3095
Tl 5.1949 1.4380 2.7312
```

Record 5
The following is a PBE calculation of an optimized crystal structure of Tc2NiW, from Alexandria via LeMat-Bulk.

Properties
polymorph energy (0 for the lowest one): 0.140 eV per atom
formation energy: 0.125 eV/atom
D(E_F): 0.9776 states/eV per atom

Structure (extended XYZ):
```
4
Lattice="2.6332 0.0000 0.0000 0.0000 4.0631 0.0000 -0.6490 0.0000 5.3683" Properties=species:S:1:pos:R:3 pbc="T T T"
Tc 0.0355 0.0000 1.2549
Tc 1.9486 0.0000 4.1134
Ni 1.3166 2.0315 0.0000
W 0.9921 2.0315 2.6842
```

Record 6
The following is a PBE calculation of an optimized crystal structure of PmDy2Si, from Alexandria via LeMat-Bulk.

Properties
polymorph energy (0 for the lowest one): 0.242 eV per atom
formation energy without anion corrections: -0.21 kcal/mol of atoms
D(E_F): 1.2375 states/eV per atom

Structure (extended XYZ):
```
12
Lattice="3.5788 0.0000 0.0000 -1.7894 3.0994 0.0000 0.0000 0.0000 32.7093" Properties=species:S:1:pos:R:3 pbc="T T T"
Pm 0.0000 0.0000 0.0000
Pm 0.0000 2.0662 21.8062
Pm 1.7894 1.0331 10.9031
Dy 0.0000 0.0000 3.5173
Dy 0.0000 0.0000 29.1920
Dy 0.0000 2.0662 18.2889
Dy 0.0000 2.0662 25.3235
Dy 1.7894 1.0331 7.3858
Dy 1.7894 1.0331 14.4204
Si 0.0000 0.0000 16.3546
Si 0.0000 2.0662 5.4516
Si 1.7894 1.0331 27.2577
```